Density functional theory data (GGA-PBE) for a relaxed structure of Cs3UAg2O6.

Energy relative to the elements, uncorrected: -1.6096 eV/atom
Magnetic moment: 1.0 μB per formula unit

Cell: 8.2847 8.2847 6.4503 Å, 92.79 92.79 135.25°
Positions (direct):
Cs  0.0000  0.0000  0.0000
Cs  0.3404  0.6596  0.0000
Cs  0.6596  0.3404  0.0000
U  0.5000  0.5000  0.5000
Ag  0.1003  0.8997  0.5000
Ag  0.8997  0.1003  0.5000
O  0.1763  0.3757  0.3624
O  0.3733  0.3733  0.7622
O  0.3757  0.1763  0.3624
O  0.6243  0.8237  0.6376
O  0.6267  0.6267  0.2378
O  0.8237  0.6243  0.6376

=====

Density functional theory data (GGA-PBE) for a relaxed structure of CsU2AgO8.

Energy relative to the elements, uncorrected: -2.1296 eV/atom
Magnetic moment: 2.0 μB per formula unit

Cell: 6.0044 6.0044 7.4121 Å, 90.00 90.00 120.00°
Positions (direct):
Cs  0.0000  0.0000  0.0000
U  0.3333  0.6667  0.4309
U  0.6667  0.3333  0.5691
Ag  0.0000  0.0000  0.5000
O  0.0603  0.3738  0.6163
O  0.3135  0.9397  0.6163
O  0.3333  0.6667  0.1784
O  0.3738  0.3135  0.3837
O  0.6262  0.6865  0.6163
O  0.6667  0.3333  0.8216
O  0.6865  0.0603  0.3837
O  0.9397  0.6262  0.3837

=====

Density functional theory data (GGA-PBE) for a relaxed structure of CsUAgO4.

Energy relative to the elements, uncorrected: -2.0459 eV/atom
Magnetic moment: 0.0 μB per formula unit

Cell: 6.4641 5.9457 7.4482 Å, 90.00 100.77 90.00°
Positions (direct):
Cs  0.2037  0.2500  0.0708
Cs  0.7963  0.7500  0.9292
U  0.1536  0.7500  0.4743
U  0.8464  0.2500  0.5257
Ag  0.3756  0.2500  0.6326
Ag  0.6244  0.7500  0.3674
O  0.0895  0.0036  0.6669
O  0.0895  0.4964  0.6669
O  0.2639  0.7500  0.2422
O  0.4536  0.7500  0.6066
O  0.5464  0.2500  0.3934
O  0.7361  0.2500  0.7578
O  0.9105  0.5036  0.3331
O  0.9105  0.9964  0.3331

=====

Density functional theory data (GGA-PBE) for a relaxed structure of Cs2UAg2O6.

Energy relative to the elements, uncorrected: -1.5708 eV/atom
Magnetic moment: 1.8 μB per formula unit

Cell: 5.9143 5.9143 7.6474 Å, 104.12 104.12 110.02°
Positions (direct):
Cs  0.1882  0.8118  0.0000
Cs  0.8118  0.1882  0.0000
U  0.0000  0.0000  0.5000
Ag  0.3357  0.6643  0.5000
Ag  0.6643  0.3357  0.5000
O  0.0121  0.3172  0.6884
O  0.2524  0.2524  0.3724
O  0.3172  0.0121  0.6884
O  0.6828  0.9879  0.3116
O  0.7476  0.7476  0.6276
O  0.9879  0.6828  0.3116